NpSbTe: optimized geometry, PBE.

Lattice parameters (Å, degrees): 4.3162 4.3162 8.9856 90.00 90.00 90.00
Sites, in units of the cell vectors:
Np1 0.2500 0.2500 0.2242
Np2 0.7500 0.7500 0.7758
Sb1 0.2500 0.7500 0.5000
Sb2 0.7500 0.2500 0.5000
Te1 0.2500 0.2500 0.8643
Te2 0.7500 0.7500 0.1357

Computed properties:
- E_form (uncorrected): -572 meV per atom
- ρ: 9.6 g/cm³
- Total magnetization: 7.55 μB/cell
- Total DFT energy (no corrections): -7.307 eV per atom
- SG: No. 129

=====

SmScAgPd: optimized geometry, PBE.

Lattice parameters (Å, degrees): 7.0389 7.0389 7.0389 90.00 90.00 90.00
Sites, in units of the cell vectors:
Sm1 0.0000 0.0000 0.0000
Sm2 0.0000 0.5000 0.5000
Sm3 0.5000 0.0000 0.5000
Sm4 0.5000 0.5000 0.0000
Sc1 0.0000 0.0000 0.5000
Sc2 0.0000 0.5000 0.0000
Sc3 0.5000 0.0000 0.0000
Sc4 0.5000 0.5000 0.5000
Ag1 0.2500 0.2500 0.7500
Ag2 0.2500 0.7500 0.2500
Ag3 0.7500 0.2500 0.2500
Ag4 0.7500 0.7500 0.7500
Pd1 0.2500 0.2500 0.2500
Pd2 0.2500 0.7500 0.7500
Pd3 0.7500 0.2500 0.7500
Pd4 0.7500 0.7500 0.2500

Computed properties:
- ρ: 7.8 g/cm³
- Total magnetization: 0.00 μB/cell
- Total DFT energy (no corrections): -5.282 eV per atom
- Formation enthalpy at 0 K: -2.04 eV/f.u.
- SG: No. 216